(1)
A geometry-optimized Mn2VCdOs structure, computed with PBE.

```
5
Lattice="4.416 0.000 0.000 0.000 4.416 0.000 0.000 0.000 4.539" Properties=species:S:1:pos:R:3 pbc="T T T"
Mn 0.000 2.208 0.000
Mn 2.208 0.000 0.000
V 0.000 0.000 0.000
Cd 2.208 2.208 2.270
Os 0.000 0.000 2.270
```

Properties
energy of formation: 1.01 eV/atom
Fermi-level density of states: 2.97 states/eV per cell


(2)
A geometry-optimized YMn2CdOs structure, computed with PBE.

```
5
Lattice="4.919 0.000 0.000 0.000 4.919 0.000 0.000 0.000 4.901" Properties=species:S:1:pos:R:3 pbc="T T T"
Y 0.000 0.000 0.000
Mn 0.000 2.459 0.000
Mn 2.459 0.000 0.000
Cd 2.459 2.459 2.451
Os 0.000 0.000 2.451
```

Properties
energy of formation: 1.81 eV/atom
Fermi-level density of states: 4.98 states/eV per cell


(3)
A geometry-optimized Mn2CdP structure, computed with PBE.

```
4
Lattice="0.000 2.960 2.960 2.960 0.000 2.960 2.960 2.960 0.000" Properties=species:S:1:pos:R:3 pbc="T T T"
Mn 1.480 1.480 1.480
Mn 4.440 4.440 4.440
Cd 0.000 0.000 0.000
P 2.960 2.960 2.960
```

Properties
energy of formation: 0.52 eV/atom
energy above the lowest structure with this stoichiometry: 546.4 meV/atom
Fermi-level density of states: 6.31 states/eV per cell


(4)
A geometry-optimized MnCd2P structure, computed with PBE.

```
4
Lattice="3.854 -1.442 0.000 3.854 1.442 0.000 -2.324 0.000 6.985" Properties=species:S:1:pos:R:3 pbc="T T T"
Mn 0.000 0.000 0.000
Cd 1.056 0.000 4.664
Cd 3.598 0.000 2.362
P 5.495 0.000 0.014
```

Properties
energy of formation: 0.04 eV/atom
Fermi-level density of states: 2.53 states/eV per cell


(5)
A geometry-optimized Mn2CdP structure, computed with PBE.

```
4
Lattice="1.452 0.838 8.548 -1.452 0.838 8.548 0.000 -1.677 8.548" Properties=species:S:1:pos:R:3 pbc="T T T"
Mn 0.000 0.000 0.000
Mn 0.000 0.000 6.586
Cd 0.000 0.000 12.707
P 0.000 0.000 18.577
```

Properties
energy of formation: 0.18 eV/atom
energy above the lowest structure with this stoichiometry: 207.3 meV/atom
Fermi-level density of states: 2.82 states/eV per cell


(6)
A geometry-optimized Mn2Cd2P structure, computed with PBE.

```
10
Lattice="5.855 0.000 0.000 0.000 5.855 0.000 0.000 0.000 4.626" Properties=species:S:1:pos:R:3 pbc="T T T"
Mn 0.877 2.051 0.000
Mn 2.051 4.978 0.000
Mn 3.804 0.877 0.000
Mn 4.978 3.804 0.000
Cd 0.976 3.904 2.313
Cd 1.951 0.976 2.313
Cd 3.904 4.879 2.313
Cd 4.879 1.951 2.313
P 0.000 0.000 0.000
P 2.927 2.927 0.000
```

Properties
energy of formation: 0.03 eV/atom
Fermi-level density of states: 9.65 states/eV per cell


(7)
A geometry-optimized MnCd2P structure, computed with PBE.

```
4
Lattice="2.832 -2.850 0.000 2.832 2.850 0.000 0.000 0.000 4.544" Properties=species:S:1:pos:R:3 pbc="T T T"
Mn 0.000 0.000 0.000
Cd 1.416 1.425 2.272
Cd 1.416 -1.425 2.272
P 2.832 0.000 0.000
```

Properties
energy of formation: 0.27 eV/atom
Fermi-level density of states: 1.66 states/eV per cell


(8)
A geometry-optimized MnCd2P structure, computed with PBE.

```
4
Lattice="2.975 0.000 0.000 0.000 2.975 0.000 0.000 0.000 8.396" Properties=species:S:1:pos:R:3 pbc="T T T"
Mn 0.000 0.000 0.000
Cd 1.488 1.488 2.014
Cd 1.488 1.488 6.382
P 0.000 0.000 4.198
```

Properties
energy of formation: 0.38 eV/atom
Fermi-level density of states: 1.98 states/eV per cell


(9)
A geometry-optimized MnCd2P2 structure, computed with PBE.

```
10
Lattice="5.849 0.000 0.000 0.000 5.849 0.000 0.000 0.000 4.878" Properties=species:S:1:pos:R:3 pbc="T T T"
Mn 0.000 0.000 0.000
Mn 2.925 2.925 0.000
Cd 1.167 1.757 2.439
Cd 1.757 4.682 2.439
Cd 4.092 1.167 2.439
Cd 4.682 4.092 2.439
P 0.819 3.744 0.000
P 2.105 0.819 0.000
P 3.744 5.030 0.000
P 5.030 2.105 0.000
```

Properties
energy of formation: 0.04 eV/atom
Fermi-level density of states: 6.07 states/eV per cell


(10)
A geometry-optimized Mn2CdP structure, computed with PBE.

```
4
Lattice="0.000 3.161 3.161 3.161 0.000 3.161 3.161 3.161 0.000" Properties=species:S:1:pos:R:3 pbc="T T T"
Mn 0.000 0.000 0.000
Mn 1.581 1.581 1.581
Cd 4.742 4.742 4.742
P 3.161 3.161 3.161
```

Properties
energy of formation: 0.43 eV/atom
energy above the lowest structure with this stoichiometry: 454.3 meV/atom
Fermi-level density of states: 3.57 states/eV per cell


(11)
A geometry-optimized Mn2CdP structure, computed with PBE.

```
4
Lattice="3.994 -1.564 0.000 3.994 1.564 0.000 -1.383 0.000 5.320" Properties=species:S:1:pos:R:3 pbc="T T T"
Mn 0.000 0.000 0.000
Mn 0.902 0.000 3.950
Cd 3.174 0.000 2.354
P 5.661 0.000 0.226
```

Properties
energy of formation: 0.16 eV/atom
energy above the lowest structure with this stoichiometry: 180.2 meV/atom
Fermi-level density of states: 3.28 states/eV per cell


(12)
A geometry-optimized Mn2CdP structure, computed with PBE.

```
4
Lattice="4.080 0.000 0.000 0.000 4.080 0.000 0.000 0.000 3.735" Properties=species:S:1:pos:R:3 pbc="T T T"
Mn 0.000 2.040 0.000
Mn 2.040 0.000 0.000
Cd 0.000 0.000 1.868
P 2.040 2.040 1.868
```

Properties
energy of formation: 0.24 eV/atom
energy above the lowest structure with this stoichiometry: 267.2 meV/atom
Fermi-level density of states: 3.22 states/eV per cell